Compound: NiCN2F
Source: the Alexandria database
Functional: PBE with a Hubbard U
Structure: optimized geometry

Properties
crystal system	tetragonal
spin magnetization	3.1	μB per formula unit
energy above the most stable polymorph in this dataset	998	meV per atom
uncorrected energy	-3.839	eV per atom
DOS at the Fermi energy	3.10	states/eV per cell

abc: 3.7313 3.7313 3.9201
angles: 90.00 90.00 90.00
Positions (direct):
Ni 0.0000 0.0000 0.0000
C 0.5000 0.5000 0.5000
N 0.0000 0.5000 0.0000
N 0.5000 0.0000 0.0000
F 0.0000 0.0000 0.5000